1.
Material: TaReHg2
Method: DFT, PBE-GGA
State: relaxed

Lattice parameters (Å, degrees): 3.410 4.510 4.813 90.00 90.00 90.00
Sites, in units of the cell vectors:
Ta (0.000, 0.500, 0.500)
Hg (0.500, 0.500, 0.000)
Hg (0.000, 0.000, 0.000)
Re (0.500, 0.000, 0.500)

Calculated values
**Density**: 17.24 g/cm³
**Space-group type**: Pmmm
**Energy of formation from the pure elements**: 0.64 eV per atom
**Calculated total energy**: -5.587 eV/atom
**Fermi-level density of states**: 0.70 states/eV/atom



2.
Material: TaReHg2
Method: DFT, PBE-GGA
State: relaxed

Lattice parameters (Å, degrees): 4.680 4.680 4.680 60.00 60.00 60.00
Sites, in units of the cell vectors:
Re (0.500, 0.500, 0.500)
Hg (0.250, 0.250, 0.250)
Hg (0.750, 0.750, 0.750)
Ta (0.000, 0.000, 0.000)

Calculated values
**Density**: 17.61 g/cm³
**Space-group type**: Fm-3m
**Energy of formation from the pure elements**: 0.89 eV per atom
**Calculated total energy**: -5.336 eV/atom
**Fermi-level density of states**: 1.55 states/eV/atom



3.
Material: Ta2ReHg
Method: DFT, PBE-GGA
State: relaxed

Lattice parameters (Å, degrees): 5.484 5.484 5.484 144.90 130.02 62.53
Sites, in units of the cell vectors:
Re (0.235, 0.735, 0.500)
Ta (0.014, 0.014, 0.000)
Ta (0.759, 0.259, 0.500)
Hg (0.491, 0.491, 0.000)

Calculated values
**Density**: 17.30 g/cm³
**Space-group type**: Imm2
**Energy of formation from the pure elements**: 0.25 eV per atom
**Calculated total energy**: -8.860 eV/atom
**Fermi-level density of states**: 0.60 states/eV/atom



4.
Material: TaReHg2
Method: DFT, PBE-GGA
State: relaxed

Lattice parameters (Å, degrees): 5.097 5.097 5.097 131.53 131.53 70.97
Sites, in units of the cell vectors:
Re (0.500, 0.500, 0.000)
Ta (0.750, 0.250, 0.500)
Hg (0.250, 0.750, 0.500)
Hg (0.000, 0.000, 0.000)

Calculated values
**Density**: 17.56 g/cm³
**Space-group type**: I-4m2
**Energy of formation from the pure elements**: 0.65 eV per atom
**Calculated total energy**: -5.571 eV/atom
**Fermi-level density of states**: 0.49 states/eV/atom